# Nd4Ge3Ir PBE optimized geometry
data_Nd4Ge3Ir
_cell_length_a 4.132
_cell_length_b 4.371
_cell_length_c 11.073
_cell_angle_alpha 90.00
_cell_angle_beta 90.00
_cell_angle_gamma 90.00
_symmetry_space_group_name_H-M 'P 1'
_symmetry_Int_Tables_number 1
loop_
_symmetry_equiv_pos_as_xyz
'x,y,z'
loop_
_atom_site_label
_atom_site_type_symbol
_atom_site_fract_x
_atom_site_fract_y
_atom_site_fract_z
Nd1 Nd 0.000 0.000 0.000
Nd2 Nd 0.000 0.500 0.485
Nd3 Nd 0.500 0.000 0.710
Nd4 Nd 0.500 0.500 0.217
Ge1 Ge 0.000 0.500 0.770
Ge2 Ge 0.500 0.000 0.426
Ge3 Ge 0.500 0.500 0.927
Ir1 Ir 0.000 0.000 0.277
# - crystal system = orthorhombic
# - total DFT energy (no corrections) (eV per cell) = -48.03
# - formation energy from the elements (meV/atom) = -781